Below is a crystal of CoSnMo3 relaxed with PBEsol, with properties calculated at the meta-GGA SCAN level.

* calculated volume: 110.1 Å³ per cell
* E_form: 2.620 eV per atom
* M_tot: 3.5 μB per formula unit

Lattice parameters (Å, degrees): 4.7931 4.7931 4.7931 90.00 90.00 90.00
Last column: nearest neighbours and their distance in Å.
Space group Pm-3m (No. 221)
One atom of each set of equivalent atoms:
Co1 0.0000 0.0000 0.0000 [1 per cell]  12 Mo 3.39
Sn1 0.5000 0.5000 0.5000 [1 per cell]  6 Mo 2.40
Mo1 0.0000 0.5000 0.5000 [3 per cell]  2 Sn 2.40